First-principles (PBE) data for a geometry-optimized HfMn2SiC structure, as listed in Alexandria via LeMat-Bulk.

Summary:
Magnetization: 1.99 μB/f.u.
Formation energy from raw total energies: -0.4829 eV per atom
Raw total energy: -9.0708 eV per atom

CIF file:
```
data_HfMn2SiC
_space_group_name_H-M_alt 'C m c m'
_space_group_IT_number 63
_space_group_name_Hall '-C 2c 2'
_cell_length_a 3.454
_cell_length_b 10.497
_cell_length_c 6.876
_cell_angle_alpha 90.00
_cell_angle_beta 90.00
_cell_angle_gamma 90.00
loop_
_atom_site_label
_atom_site_type_symbol
_atom_site_fract_x
_atom_site_fract_y
_atom_site_fract_z
_atom_site_occupancy
Hf1 Hf 0.000 0.041 0.250 1
Mn1 Mn 0.000 0.332 0.057 1
Si1 Si 0.000 0.239 0.750 1
C1 C 0.000 0.500 0.000 1
```